Computed, not measured: an optimized crystal structure of Ac2Zn4Ag5 at the GGA-PBE level of DFT.

Properties
Formation energy from the elements in eV/atom: -0.157
Electronic total energy in eV per atom: -2.6635

Cell and atoms, written as POSCAR:
```
Ac2Zn4Ag5
1.0
6.5034 -2.8980 0.0000
6.5034 2.8980 0.0000
-5.3010 0.0000 6.6474
Ac Zn Ag
2 4 5
Direct
0.2184 0.2184 0.2755 Ac
0.7816 0.7816 0.7245 Ac
0.1277 0.1277 0.5692 Zn
0.2706 0.2706 0.9398 Zn
0.7294 0.7294 0.0602 Zn
0.8723 0.8723 0.4308 Zn
0.2178 0.7093 0.2541 Ag
0.2907 0.7822 0.7459 Ag
0.5000 0.5000 0.0000 Ag
0.7093 0.2178 0.2541 Ag
0.7822 0.2907 0.7459 Ag
```